(1)
Below is a relaxed LaTb2PaP4 crystal, with properties calculated at the PBE level.

abc: 7.040 7.040 7.040
angles: 131.83 131.83 70.50
Positions (direct):
La (0.000, 0.000, 0.000)
Tb (0.500, 0.500, 0.000)
Tb (0.750, 0.250, 0.500)
Pa (0.250, 0.750, 0.500)
P (0.008, 0.508, 0.500)
P (0.255, 0.255, 0.000)
P (0.492, 0.992, 0.500)
P (0.745, 0.745, 0.000)



(2)
Below is a relaxed LiPrY2In4 crystal, with properties calculated at the PBE level.

abc: 9.353 9.353 9.353
angles: 32.65 32.65 32.65
Positions (direct):
Li (0.000, 0.000, 0.000)
Pr (0.500, 0.500, 0.500)
Y (0.254, 0.254, 0.254)
Y (0.746, 0.746, 0.746)
In (0.121, 0.121, 0.121)
In (0.372, 0.372, 0.372)
In (0.628, 0.628, 0.628)
In (0.879, 0.879, 0.879)



(3)
Below is a relaxed AsP2Cl crystal, with properties calculated at the PBE level.

abc: 4.589 4.589 4.589
angles: 60.00 60.00 60.00
Positions (direct):
As (0.000, 0.000, 0.000)
P (0.250, 0.250, 0.250)
P (0.750, 0.750, 0.750)
Cl (0.500, 0.500, 0.500)

Properties
Formation energy from raw total energies ... 2.84 eV/f.u.



(4)
Below is a relaxed TmSc2Cu3 crystal, with properties calculated at the PBE level.

abc: 3.298 3.298 10.007
angles: 90.00 90.00 90.00
Positions (direct):
Tm (0.000, 0.000, 0.000)
Sc (0.000, 0.000, 0.338)
Sc (0.000, 0.000, 0.662)
Cu (0.500, 0.500, 0.182)
Cu (0.500, 0.500, 0.500)
Cu (0.500, 0.500, 0.818)



(5)
Below is a relaxed MgGeB2 crystal, with properties calculated at the PBE level.

abc: 4.119 4.119 4.119
angles: 60.00 60.00 60.00
Positions (direct):
Mg (0.000, 0.000, 0.000)
Ge (0.500, 0.500, 0.500)
B (0.250, 0.250, 0.250)
B (0.750, 0.750, 0.750)



(6)
Below is a relaxed NpO6F2 crystal, with properties calculated at the PBE level.

abc: 5.549 5.549 8.721
angles: 117.04 117.04 51.40
Positions (direct):
Np (0.000, 0.000, 0.000)
O (0.204, 0.204, 0.094)
O (0.440, 0.440, 0.501)
O (0.488, 0.488, 0.917)
O (0.512, 0.512, 0.083)
O (0.560, 0.560, 0.499)
O (0.796, 0.796, 0.906)
F (0.028, 0.028, 0.253)
F (0.972, 0.972, 0.747)

Properties
Formation energy from raw total energies ... -13.66 eV/f.u.



(7)
Below is a relaxed Rb2TaPbBr crystal, with properties calculated at the PBE level.

abc: 7.286 7.286 4.979
angles: 90.00 90.00 90.00
Positions (direct):
Rb (0.000, 0.500, 0.000)
Rb (0.500, 0.000, 0.000)
Ta (0.000, 0.000, 0.000)
Pb (0.500, 0.500, 0.500)
Br (0.000, 0.000, 0.500)

Properties
Formation energy from raw total energies ... 4.08 eV/f.u.



(8)
Below is a relaxed TiGeAu crystal, with properties calculated at the PBE level.

abc: 4.412 4.412 2.989
angles: 90.00 90.00 120.00
Positions (direct):
Ti (0.000, 0.000, 0.000)
Ge (0.667, 0.333, 0.500)
Au (0.333, 0.667, 0.500)



Number 1: volume 189.9 Å³ per cell, raw total energy -7.18 eV/atom. Number 2: volume 211.8 Å³ per cell, raw total energy -4.25 eV/atom. Number 3: volume 68.3 Å³ per cell, raw total energy -3.62 eV/atom. Number 4: volume 108.8 Å³ per cell, raw total energy -5.18 eV/atom. Number 5: volume 49.4 Å³ per cell, raw total energy -3.76 eV/atom. Number 6: volume 181.2 Å³ per cell, raw total energy -6.68 eV/atom. Number 7: volume 264.3 Å³ per cell, raw total energy -3.02 eV/atom. Number 8: volume 50.4 Å³ per cell, raw total energy -5.57 eV/atom.